This record from Alexandria via LeMat-Bulk describes Nd6TmTh after structural relaxation. The functional is PBE.

Lattice parameters (Å, degrees): 5.1501 5.1501 10.2985 90.00 90.00 90.00
Closest atoms and distances in Å follow each position.
Space group P4/mmm (No. 123)
One atom of each set of equivalent atoms:
Nd: 0.0000 0.0000 0.0000  8 Nd 3.63, 4 Th 3.64
Nd: 0.0000 0.0000 0.5000  4 Tm 3.64, 8 Nd 3.65
Nd: 0.0000 0.5000 0.2487  2 Th 3.63, 8 Nd 3.63-3.65, 2 Tm 3.65
Tm: 0.5000 0.5000 0.5000  12 Nd 3.64-3.65
Th: 0.5000 0.5000 0.0000  12 Nd 3.63-3.64

Values from the calculation:
Its energy relative to the lowest polymorph listed for this composition is 0.000 eV/atom. As for the spin magnetization: 0.0 μB per formula unit.

---

This record from Alexandria via LeMat-Bulk describes Li2Y3Cu7 after structural relaxation. The functional is PBE.

Lattice parameters (Å, degrees): 5.2812 5.2812 24.5870 90.00 90.00 120.00
Closest atoms and distances in Å follow each position.
Space group R-3m (No. 166, hexagonal axes)
One atom of each set of equivalent atoms:
Li: 0.0000 0.0000 0.1678  6 Cu 2.52-2.57
Y: 0.0000 0.0000 0.3614  12 Cu 2.97-3.14
Y: 0.0000 0.0000 0.5000  6 Li 3.05, 12 Cu 3.34, 2 Y 3.41
Cu: 0.0000 0.0000 0.0000  6 Cu 2.56
Cu: 0.0003 0.5002 0.4170  2 Li 2.52-2.57, 5 Cu 2.56-2.64

Values from the calculation:
As for the spin magnetization: 0.0 μB per formula unit. As for the calculated total energy: -0.1643 Ha/atom.

---

This record from Alexandria via LeMat-Bulk describes La6HgOs2 after structural relaxation. The functional is PBE.

Lattice parameters (Å, degrees): 6.5054 10.6260 7.9928 90.00 98.64 90.00
Closest atoms and distances in Å follow each position.
Space group C2/m (No. 12)
One atom of each set of equivalent atoms:
La: 0.1883 0.1810 0.2152  2 Os 2.85-2.89
La: 0.2280 0.5000 0.3910  4 Os 3.19-3.27, 1 Hg 3.25
Hg: 0.0000 0.5000 0.0000  6 La 3.25-3.44
Os: 0.0000 0.2542 0.5000  6 La 2.85-3.19

Values from the calculation:
Its energy relative to the lowest polymorph listed for this composition is 0.000 eV/atom. As for the spin magnetization: 0.0 μB per formula unit.